[1]
This record from the Alexandria database describes a relaxed structure of ZnPRu2. The functional is PBE.

Summary:
- Formation energy from the elements: 0.282 eV/atom
- Relative energy among the computed polymorphs: 539 meV per atom
- Theoretical density: 8.9 g/cm³

Cell: 6.0693 6.0693 6.0693 Å, 90.00 90.00 90.00°
Closest atoms and distances in Å follow each position.
Space group F-43m (No. 216)
Symmetry-distinct sites (fractional):
Zn1 0.0000 0.0000 0.0000  4 Ru 2.63, 4 P 2.63
P1 0.2500 0.2500 0.7500  4 Ru 2.63, 4 Zn 2.63
Ru1 0.0000 0.0000 0.5000  4 Ru 2.63, 4 P 2.63
Ru2 0.2500 0.2500 0.2500  4 Ru 2.63, 4 Zn 2.63

[2]
This record from the Alexandria database describes a relaxed structure of Na2ScAgCl6. The functional is PBE.

Summary:
- Relative energy among the computed polymorphs: 124 meV per atom
- Theoretical density: 2.5 g/cm³
- Formation energy (no corrections): -1530 meV/atom

Cell: 10.3285 10.3285 10.3285 Å, 90.00 90.00 90.00°
Closest atoms and distances in Å follow each position.
Space group Fm-3m (No. 225)
Symmetry-distinct sites (fractional):
Na1 0.2500 0.2500 0.2500  12 Cl 3.65
Sc1 0.0000 0.0000 0.0000  6 Cl 2.48
Ag1 0.0000 0.0000 0.5000  6 Cl 2.68
Cl1 0.0000 0.0000 0.2402  1 Sc 2.48, 1 Ag 2.68

[3]
This record from the Alexandria database describes a relaxed structure of YTaCo. The functional is PBE.

Summary:
- Formation energy from the elements: 0.117 eV/atom
- Relative energy among the computed polymorphs: 290 meV per atom
- Theoretical density: 8.7 g/cm³

Cell: 4.0609 4.0609 4.4179 Å, 90.00 90.00 120.00°
Closest atoms and distances in Å follow each position.
Space group P3m1 (No. 156)
Symmetry-distinct sites (fractional):
Y1 0.0000 0.0000 0.0000  6 Co 3.15-3.29, 6 Ta 3.21-3.23
Ta1 0.6667 0.3333 0.5024  3 Co 2.35
Co1 0.3333 0.6667 0.4773  3 Ta 2.35

Among the records above, which one has the lowest relative energy among the computed polymorphs?
Na2ScAgCl6

Copy entry 1 word for word.
This record from the Alexandria database describes a relaxed structure of ZnPRu2. The functional is PBE.

Summary:
- Formation energy from the elements: 0.282 eV/atom
- Relative energy among the computed polymorphs: 539 meV per atom
- Theoretical density: 8.9 g/cm³

Cell: 6.0693 6.0693 6.0693 Å, 90.00 90.00 90.00°
Closest atoms and distances in Å follow each position.
Space group F-43m (No. 216)
Symmetry-distinct sites (fractional):
Zn1 0.0000 0.0000 0.0000  4 Ru 2.63, 4 P 2.63
P1 0.2500 0.2500 0.7500  4 Ru 2.63, 4 Zn 2.63
Ru1 0.0000 0.0000 0.5000  4 Ru 2.63, 4 P 2.63
Ru2 0.2500 0.2500 0.2500  4 Ru 2.63, 4 Zn 2.63